Entry 1:
# KFeTc2

A crystal of KFeTc2 relaxed with PBEsol (SCAN, Alexandria via LeMat-Bulk).

**Size of the total moment**: 0.62 Bohr magnetons per cell
**Total energy**: -89.786 eV for the cell shown

a b c (Å): 4.3328 4.3328 4.3328
angles (deg): 60.00 60.00 60.00
Fractional positions:
K (0.0000, 0.0000, 0.0000)
Fe (0.5000, 0.5000, 0.5000)
Tc (0.2500, 0.2500, 0.2500)
Tc (0.7500, 0.7500, 0.7500)

Entry 2:
# KFe2Tc

A crystal of KFe2Tc relaxed with PBEsol (SCAN, Alexandria via LeMat-Bulk).

**Size of the total moment**: 7.04 Bohr magnetons per cell
**Total energy**: -74.611 eV for the cell shown

a b c (Å): 5.8080 5.8080 5.8080
angles (deg): 153.66 124.79 62.17
Fractional positions:
K (0.0000, 0.0000, 0.0000)
Fe (0.2906, 0.7906, 0.5000)
Fe (0.7094, 0.2094, 0.5000)
Tc (0.5000, 0.5000, 0.0000)

Entry 3:
# KFe2Tc

A crystal of KFe2Tc relaxed with PBEsol (SCAN, Alexandria via LeMat-Bulk).

**Size of the total moment**: 4.73 Bohr magnetons per cell
**Total energy**: -76.923 eV for the cell shown

a b c (Å): 2.7112 3.6072 7.4678
angles (deg): 90.00 90.00 90.00
Fractional positions:
K (0.0000, 0.0000, 0.0000)
Fe (0.5000, 0.5000, 0.3500)
Fe (0.5000, 0.5000, 0.6500)
Tc (0.0000, 0.0000, 0.5000)

Entry 4:
# KFe2Tc

A crystal of KFe2Tc relaxed with PBEsol (SCAN, Alexandria via LeMat-Bulk).

**Size of the total moment**: 4.44 Bohr magnetons per cell
**Total energy**: -76.608 eV for the cell shown

a b c (Å): 2.6354 3.4896 7.7652
angles (deg): 90.00 90.00 90.00
Fractional positions:
K (0.0000, 0.0000, 0.0000)
Fe (0.0000, 0.0000, 0.5083)
Fe (0.5000, 0.5000, 0.6603)
Tc (0.5000, 0.5000, 0.3618)

| no. | D(E_F) (states/eV per cell) |
| --- | --- |
| 1 | 3.86 |
| 2 | 3.19 |
| 3 | 2.83 |
| 4 | 2.74 |